Record 1
Here is an optimized crystal structure of ScCu2Ir from the Open Quantum Materials Database. Energies are from PBE-GGA.

```
data_ScCu2Ir
_cell_length_a 6.181
_cell_length_b 6.181
_cell_length_c 6.181
_cell_angle_alpha 90.00
_cell_angle_beta 90.00
_cell_angle_gamma 90.00
_space_group_name_H-M_alt 'F -4 3 m'
_space_group_IT_number 216
_space_group_name_Hall 'F -4 2 3'
loop_
_atom_site_label
_atom_site_type_symbol
_atom_site_fract_x
_atom_site_fract_y
_atom_site_fract_z
_atom_site_occupancy
Sc1 Sc 0.000 0.000 0.000 1
Cu1 Cu 0.000 0.000 0.500 1
Cu2 Cu 0.250 0.250 0.750 1
Ir1 Ir 0.250 0.250 0.250 1
```

Values from the calculation:
Raw total energy = -5.954 eV per atom
Relative energy among the computed polymorphs = 0.1119 eV/atom
Energy relative to the elements = -0.30 eV per atom
Crystal system = cubic

Record 2
Here is an optimized crystal structure of RbCu3WSe4 from the Open Quantum Materials Database. Energies are from PBE-GGA.

```
data_RbCu3WSe4
_cell_length_a 6.235
_cell_length_b 6.235
_cell_length_c 6.235
_cell_angle_alpha 90.00
_cell_angle_beta 90.00
_cell_angle_gamma 90.00
_space_group_name_H-M_alt 'P -4 3 m'
_space_group_IT_number 215
_space_group_name_Hall 'P -4 2 3'
loop_
_atom_site_label
_atom_site_type_symbol
_atom_site_fract_x
_atom_site_fract_y
_atom_site_fract_z
_atom_site_occupancy
Rb1 Rb 0.000 0.000 0.000 1
Cu1 Cu 0.000 0.500 0.500 1
W1 W 0.500 0.500 0.500 1
Se1 Se 0.278 0.278 0.278 1
```

Values from the calculation:
Raw total energy = -4.475 eV per atom
Crystal system = cubic

Record 3
Here is an optimized crystal structure of ZrOs from the Open Quantum Materials Database. Energies are from PBE-GGA.

```
data_ZrOs
_cell_length_a 4.559
_cell_length_b 8.411
_cell_length_c 5.582
_cell_angle_alpha 90.00
_cell_angle_beta 90.00
_cell_angle_gamma 90.00
_space_group_name_H-M_alt 'P m c 21'
_space_group_IT_number 26
loop_
_space_group_symop_operation_xyz
'x,y,z'
'-x,-y,z+1/2'
'-x,y,z'
'x,-y,z+1/2'
loop_
_atom_site_label
_atom_site_type_symbol
_atom_site_fract_x
_atom_site_fract_y
_atom_site_fract_z
_atom_site_occupancy
Zr1 Zr 0.000 0.021 0.000 1
Zr2 Zr 0.000 0.362 0.319 1
Zr3 Zr 0.500 0.176 0.667 1
Os1 Os 0.000 0.315 0.828 1
Os2 Os 0.500 0.186 0.171 1
Os3 Os 0.500 0.499 0.543 1
```

Values from the calculation:
Raw total energy = -10.059 eV per atom
Energy relative to the elements = -0.17 eV per atom
Crystal system = orthorhombic

Record 4
Here is an optimized crystal structure of LaHfMgIr from the Open Quantum Materials Database. Energies are from PBE-GGA.

```
data_LaHfMgIr
_cell_length_a 7.067
_cell_length_b 7.067
_cell_length_c 7.067
_cell_angle_alpha 90.00
_cell_angle_beta 90.00
_cell_angle_gamma 90.00
_space_group_name_H-M_alt 'F -4 3 m'
_space_group_IT_number 216
_space_group_name_Hall 'F -4 2 3'
loop_
_atom_site_label
_atom_site_type_symbol
_atom_site_fract_x
_atom_site_fract_y
_atom_site_fract_z
_atom_site_occupancy
La1 La 0.000 0.000 0.000 1
Hf1 Hf 0.000 0.000 0.500 1
Mg1 Mg 0.250 0.250 0.750 1
Ir1 Ir 0.250 0.250 0.250 1
```

Values from the calculation:
Raw total energy = -6.476 eV per atom
Relative energy among the computed polymorphs = 0.0135 eV/atom
Crystal system = cubic

Record 5
Here is an optimized crystal structure of Dy2SnAs2 from the Open Quantum Materials Database. Energies are from PBE-GGA.

```
data_Dy2SnAs2
_cell_length_a 15.265
_cell_length_b 4.120
_cell_length_c 8.157
_cell_angle_alpha 90.00
_cell_angle_beta 90.00
_cell_angle_gamma 90.00
_space_group_name_H-M_alt 'C m c m'
_space_group_IT_number 63
_space_group_name_Hall '-C 2c 2'
loop_
_atom_site_label
_atom_site_type_symbol
_atom_site_fract_x
_atom_site_fract_y
_atom_site_fract_z
_atom_site_occupancy
Dy1 Dy 0.143 0.000 0.000 1
Sn1 Sn 0.000 0.228 0.250 1
As1 As 0.167 0.491 0.750 1
```

Values from the calculation:
Raw total energy = -5.323 eV per atom
Crystal system = orthorhombic

Record 6
Here is an optimized crystal structure of LiPr from the Open Quantum Materials Database. Energies are from PBE-GGA.

```
data_LiPr
_cell_length_a 5.3147
_cell_length_b 5.3147
_cell_length_c 4.3724
_cell_angle_alpha 90.00
_cell_angle_beta 90.00
_cell_angle_gamma 120.00
_space_group_name_H-M_alt 'P 63/m m c'
_space_group_IT_number 194
_space_group_name_Hall '-P 6c 2c'
loop_
_atom_site_label
_atom_site_type_symbol
_atom_site_fract_x
_atom_site_fract_y
_atom_site_fract_z
_atom_site_occupancy
Li1 Li 0.0000 0.0000 0.0000 1
Pr1 Pr 0.3333 0.6667 0.2500 1
```

Values from the calculation:
Raw total energy = -3.115 eV per atom
Relative energy among the computed polymorphs = 0.0830 eV/atom
Crystal system = hexagonal